[1]
Density functional theory data (PBE) for a geometry-optimized Ag2MoW structure.

Calculated values
Polymorph energy (0 for the lowest one): 0.296 eV/atom
E_form: 0.60 eV/atom
Calculated total energy: -6.77 eV per atom
Magnetic moment: 0.0 Bohr magnetons per cell

Cell: 2.6751 4.7674 5.3526 Å, 90.00 102.98 90.00°
Space group P2/m (No. 10)
Asymmetric unit:
Ag (0.0039, 0.0000, 0.2505) x2
Mo (0.5000, 0.5000, 0.0000) x1
W (0.5000, 0.5000, 0.5000) x1



[2]
Density functional theory data (PBE) for a geometry-optimized Sn2SbBr structure.

Calculated values
Polymorph energy (0 for the lowest one): 0.128 eV/atom
Calculated total energy: -3.55 eV per atom
Magnetic moment: 0.0 Bohr magnetons per cell
E_form (uncorrected): -0.104 eV/atom

Cell: 3.7920 3.7920 8.0572 Å, 90.00 90.00 90.00°
Space group P4/mmm (No. 123)
Asymmetric unit:
Sn (0.0000, 0.0000, 0.2304) x2
Sb (0.5000, 0.5000, 0.0000) x1
Br (0.5000, 0.5000, 0.5000) x1



[3]
Density functional theory data (PBE) for a geometry-optimized La2ReTc structure.

Calculated values
Polymorph energy (0 for the lowest one): 0.000 eV/atom
E_form: 0.15 eV/atom
Calculated total energy: -8.02 eV per atom
Magnetic moment: 0.0 Bohr magnetons per cell

Cell: 3.1831 3.1831 9.4021 Å, 90.00 90.00 90.00°
Space group P4mm (No. 99)
Asymmetric unit:
La (0.0000, 0.0000, 0.0000) x1
La (0.5000, 0.5000, 0.3818) x1
Re (0.0000, 0.0000, 0.6216) x1
Tc (0.5000, 0.5000, 0.7625) x1



[4]
Density functional theory data (PBE) for a geometry-optimized HfZnN2 structure.

Calculated values
Calculated total energy: -7.96 eV per atom
Magnetic moment: 0.0 Bohr magnetons per cell
E_form (uncorrected): -0.993 eV/atom

Cell: 3.2645 3.2645 5.3225 Å, 90.00 90.00 120.00°
Space group P3m1 (No. 156)
Asymmetric unit:
Hf (0.0000, 0.0000, 0.0000) x1
Zn (0.3333, 0.6667, 0.5508) x1
N (0.3333, 0.6667, 0.1840) x1
N (0.6667, 0.3333, 0.7483) x1